(1)
This record from OQMD via LeMat-Bulk describes a geometry-optimized YZnIn structure. The functional is PBE.

abc: 4.6641 7.2386 8.1551
angles: 90.00 90.00 90.00
With the nearest neighbours (Å) after each atom.
Space group Imm2 (No. 44)
Unique sites:
Y 0.0000 0.0000 0.0000 x2  4 Zn 3.07, 6 In 3.20-3.30
Y 0.0000 0.5000 0.0088 x2  2 Zn 3.05, 6 In 3.21-3.32
Zn 0.0000 0.2950 0.3362 x4  3 In 2.73-2.75, 1 Zn 2.97
In 0.0000 0.2692 0.6729 x4  3 Zn 2.73-2.75

Raw total energy, Ha/atom: -0.14479
Calculated density, g/cm3: 6.493

***

(2)
This record from OQMD via LeMat-Bulk describes a geometry-optimized Y2ZnIn structure. The functional is PBE.

abc: 4.8364 4.8364 13.6467
angles: 90.00 90.00 120.00
With the nearest neighbours (Å) after each atom.
Space group P6_3/mmc (No. 194)
Unique sites:
Y 0.3333 0.6667 0.1123 x4  3 Zn 3.37, 3 In 3.37, 1 Y 3.76
Zn 0.0000 0.0000 0.2500 x2  3 In 2.79
In 0.3333 0.6667 0.7500 x2  3 Zn 2.79

Raw total energy, Ha/atom: -0.15430
Calculated density, g/cm3: 4.301

***

(3)
This record from OQMD via LeMat-Bulk describes a geometry-optimized YZnIn2 structure. The functional is PBE.

abc: 7.2453 7.2453 7.2453
angles: 90.00 90.00 90.00
With the nearest neighbours (Å) after each atom.
Space group F-43m (No. 216)
Unique sites:
Y 0.0000 0.0000 0.0000 x4  4 In 3.14, 4 Zn 3.14
Zn 0.2500 0.2500 0.7500 x4  4 In 3.14, 4 Y 3.14
In 0.0000 0.0000 0.5000 x4  4 In 3.14, 4 Zn 3.14
In 0.2500 0.2500 0.2500 x4  4 In 3.14, 4 Y 3.14

Raw total energy, Ha/atom: -0.12735
Calculated density, g/cm3: 6.705

***

(4)
This record from OQMD via LeMat-Bulk describes a geometry-optimized Y2ZnIn structure. The functional is PBE.

abc: 5.2350 5.2350 11.8533
angles: 90.00 90.00 120.00
With the nearest neighbours (Å) after each atom.
Space group P6_3/mmc (No. 194)
Unique sites:
Y 0.3333 0.6667 0.0947 x4  3 Zn 3.22, 3 In 3.54
Zn 0.0000 0.0000 0.0000 x2  6 Y 3.22
In 0.3333 0.6667 0.7500 x2  6 Y 3.54

Raw total energy, Ha/atom: -0.15322
Calculated density, g/cm3: 4.227

***

(5)
This record from OQMD via LeMat-Bulk describes a geometry-optimized Y5ZnIn4 structure. The functional is PBE.

abc: 3.6153 3.6153 19.7715
angles: 90.00 90.00 90.00
With the nearest neighbours (Å) after each atom.
Space group P4/mmm (No. 123)
Unique sites:
Y 0.0000 0.0000 0.0000 x1  8 In 3.28, 4 Y 3.62
Y 0.0000 0.0000 0.2071 x2  8 In 3.27-3.28, 4 Y 3.62
Y 0.0000 0.0000 0.4124 x2  4 Zn 3.09, 4 In 3.25
Zn 0.5000 0.5000 0.5000 x1  8 Y 3.09
In 0.5000 0.5000 0.1038 x2  8 Y 3.27-3.28, 4 In 3.62
In 0.5000 0.5000 0.3109 x2  8 Y 3.25-3.28, 4 In 3.62

Raw total energy, Ha/atom: -0.18136
Calculated density, g/cm3: 6.228

***

(6)
This record from OQMD via LeMat-Bulk describes a geometry-optimized YZnIn2 structure. The functional is PBE.

abc: 7.2453 7.2453 7.2453
angles: 90.00 90.00 90.00
With the nearest neighbours (Å) after each atom.
Space group F-43m (No. 216)
Unique sites:
Y 0.0000 0.0000 0.0000 x4  4 Zn 3.14, 4 In 3.14
Zn 0.2500 0.2500 0.2500 x4  4 In 3.14, 4 Y 3.14
In 0.0000 0.0000 0.5000 x4  4 In 3.14, 4 Zn 3.14
In 0.2500 0.2500 0.7500 x4  4 Y 3.14, 4 In 3.14

Raw total energy, Ha/atom: -0.12735
Calculated density, g/cm3: 6.705

***

(7)
This record from OQMD via LeMat-Bulk describes a geometry-optimized Y2ZnIn structure. The functional is PBE.

abc: 3.6400 3.6400 7.4469
angles: 90.00 90.00 90.00
With the nearest neighbours (Å) after each atom.
Space group P4/mmm (No. 123)
Unique sites:
Y 0.0000 0.0000 0.2322 x2  4 Zn 3.10, 4 In 3.26, 1 Y 3.46
Zn 0.5000 0.5000 0.0000 x1  8 Y 3.10
In 0.5000 0.5000 0.5000 x1  8 Y 3.26, 4 In 3.64

Raw total energy, Ha/atom: -0.17204
Calculated density, g/cm3: 6.026

***

(8)
This record from OQMD via LeMat-Bulk describes a geometry-optimized YZr2In structure. The functional is PBE.

abc: 4.5761 4.5761 4.5875
angles: 90.00 90.00 90.00
With the nearest neighbours (Å) after each atom.
Space group P4/mmm (No. 123)
Unique sites:
Y 0.0000 0.0000 0.0000 x1  4 In 3.24, 8 Zr 3.24
Zr 0.0000 0.5000 0.5000 x2  4 Zr 3.24, 4 In 3.24, 4 Y 3.24
In 0.5000 0.5000 0.0000 x1  4 Y 3.24, 8 Zr 3.24

Raw total energy, Ha/atom: -0.24829
Calculated density, g/cm3: 6.675
Offset from the most stable computed form, meV per atom: 0

***

(9)
This record from OQMD via LeMat-Bulk describes a geometry-optimized ZnIn structure. The functional is PBE.

abc: 5.1221 6.2837 10.6709
angles: 90.00 90.00 90.00
With the nearest neighbours (Å) after each atom.
Space group Pmmn (No. 59, origin choice 2)
Unique sites:
Zn 0.2500 0.0205 0.0774 x4  3 Zn 2.68-2.88, 2 In 2.87-2.92
Zn 0.2500 0.2500 0.3089 x2  2 Zn 2.86, 8 In 3.10-3.20
Zn 0.2500 0.2500 0.8652 x2  2 Zn 2.68
In 0.2500 0.0003 0.5874 x4  8 In 3.14-3.50, 4 Zn 3.20-3.36
In 0.2500 0.7500 0.2939 x2  6 Zn 2.87-3.15
In 0.2500 0.7500 0.8550 x2  10 Zn 2.92-3.14, 2 In 3.26

Raw total energy, Ha/atom: -0.06937
Calculated density, g/cm3: 6.971

***

(10)
This record from OQMD via LeMat-Bulk describes a geometry-optimized ZnIn2 structure. The functional is PBE.

abc: 8.6750 8.6750 8.6750
angles: 90.00 90.00 90.00
With the nearest neighbours (Å) after each atom.
Space group Fd-3m (No. 227, origin choice 2)
Unique sites:
Zn 0.1250 0.1250 0.1250 x8  12 In 3.60, 4 Zn 3.76
In 0.0000 0.0000 0.5000 x16  6 In 3.07

Raw total energy, Ha/atom: -0.07096
Calculated density, g/cm3: 6.004

***

(11)
This record from OQMD via LeMat-Bulk describes a geometry-optimized ZnIn structure. The functional is PBE.

abc: 4.4479 4.4479 5.1295
angles: 90.00 90.00 120.00
With the nearest neighbours (Å) after each atom.
Space group P6_3/mmc (No. 194)
Unique sites:
Zn 0.0000 0.0000 0.0000 x2  2 Zn 2.56, 6 In 2.87
In 0.3333 0.6667 0.2500 x2  6 Zn 2.87

Raw total energy, Ha/atom: -0.07151
Calculated density, g/cm3: 6.810

***

(12)
This record from OQMD via LeMat-Bulk describes a geometry-optimized ZnIn structure. The functional is PBE.

abc: 3.1833 5.0416 10.7122
angles: 90.00 90.00 90.00
With the nearest neighbours (Å) after each atom.
Space group Pmmn (No. 59, origin choice 2)
Unique sites:
Zn 0.2500 0.2500 0.0163 x2  2 Zn 2.64
Zn 0.2500 0.7500 0.1801 x2  2 Zn 2.64
In 0.2500 0.2500 0.5681 x2  2 Zn 3.13, 8 In 3.18-3.32
In 0.2500 0.7500 0.7498 x2  6 Zn 2.97-3.07, 4 In 3.18

Raw total energy, Ha/atom: -0.06994
Calculated density, g/cm3: 6.963

***

(13)
This record from OQMD via LeMat-Bulk describes a geometry-optimized ZnIn structure. The functional is PBE.

abc: 6.3250 4.5091 9.1183
angles: 90.00 98.26 90.00
With the nearest neighbours (Å) after each atom.
Space group P2_1/m (No. 11)
Unique sites:
Zn 0.0087 0.2500 0.0858 x2  5 Zn 2.72-2.80, 3 In 2.91-2.99
Zn 0.2236 0.2500 0.8478 x2  6 Zn 2.70-2.80, 2 In 2.97
Zn 0.4726 0.7500 0.9113 x2  5 Zn 2.70-2.77, 3 In 2.96-3.00
In 0.1632 0.7500 0.6344 x2  4 Zn 2.91-2.97, 3 In 3.10-3.12
In 0.2908 0.7500 0.2084 x2  8 Zn 2.99-3.22, 2 In 3.10
In 0.3307 0.2500 0.4444 x2  8 In 3.10-3.38

Raw total energy, Ha/atom: -0.07018
Calculated density, g/cm3: 6.977

***

(14)
This record from OQMD via LeMat-Bulk describes a geometry-optimized ZnIn structure. The functional is PBE.

abc: 6.7889 5.1975 7.4382
angles: 90.00 101.02 90.00
With the nearest neighbours (Å) after each atom.
Space group P2_1/m (No. 11)
Unique sites:
Zn 0.1025 0.2500 0.0508 x2  4 Zn 2.67-2.98, 3 In 2.84-2.96
Zn 0.1823 0.7500 0.2672 x2  2 Zn 2.58-2.75, 1 In 2.87
Zn 0.2915 0.7500 0.9531 x2  2 Zn 2.58-2.67, 2 In 2.82
In 0.0382 0.7500 0.6055 x2  3 Zn 2.82-2.89, 2 In 3.03
In 0.3503 0.2500 0.7827 x2  4 Zn 2.82-2.95
In 0.4472 0.2500 0.3629 x2  4 Zn 2.96-3.20, 5 In 3.22-3.31

Raw total energy, Ha/atom: -0.06959
Calculated density, g/cm3: 6.970

***

(15)
This record from OQMD via LeMat-Bulk describes a geometry-optimized ZnIn structure. The functional is PBE.

abc: 4.5064 9.8988 5.7302
angles: 90.00 90.00 90.00
With the nearest neighbours (Å) after each atom.
Space group Pmc2_1 (No. 26)
Unique sites:
Zn 0.0000 0.0448 0.0000 x2  6 Zn 2.74-3.00, 2 In 2.85
Zn 0.0000 0.2313 0.6468 x2  4 Zn 2.68-2.86, 2 In 3.00
Zn 0.5000 0.2002 0.8946 x2  4 Zn 2.68-2.79, 2 In 2.83-2.92
In 0.0000 0.3516 0.1560 x2  5 Zn 3.05-3.17, 4 In 3.15-3.39
In 0.5000 0.1139 0.3660 x2  9 Zn 2.83-3.15
In 0.5000 0.4304 0.5769 x2  3 Zn 2.92-3.02, 4 In 3.15-3.18

Raw total energy, Ha/atom: -0.07062
Calculated density, g/cm3: 7.025

***

(16)
This record from OQMD via LeMat-Bulk describes a geometry-optimized ZnIn structure. The functional is PBE.

abc: 6.9215 5.3452 7.1276
angles: 90.00 102.95 90.00
With the nearest neighbours (Å) after each atom.
Space group P2_1/m (No. 11)
Unique sites:
Zn 0.0205 0.2500 0.4143 x2  2 Zn 2.62-2.73, 1 In 2.77
Zn 0.1094 0.2500 0.0757 x2  2 Zn 2.61-2.62, 3 In 2.85-2.86
Zn 0.2667 0.7500 0.9178 x2  2 Zn 2.61-2.73, 4 In 2.84-2.93
In 0.1717 0.7500 0.2848 x2  7 Zn 2.77-3.09
In 0.3403 0.2500 0.7890 x2  5 Zn 2.86-3.06
In 0.4750 0.2500 0.3558 x2  2 Zn 2.85-2.93, 1 In 3.12

Raw total energy, Ha/atom: -0.06999
Calculated density, g/cm3: 6.987

***

(17)
This record from OQMD via LeMat-Bulk describes a geometry-optimized ZnIn structure. The functional is PBE.

abc: 7.0706 4.9523 4.8265
angles: 90.00 90.00 90.00
With the nearest neighbours (Å) after each atom.
Space group Pbcm (No. 57)
Unique sites:
Zn 0.0771 0.0921 0.2500 x4  6 Zn 2.71-2.88, 2 In 2.92-2.99
In 0.3445 0.5406 0.2500 x4  4 Zn 2.92-3.14, 2 In 3.18

Raw total energy, Ha/atom: -0.07024
Calculated density, g/cm3: 7.083

***

(18)
This record from OQMD via LeMat-Bulk describes a geometry-optimized ZnIn structure. The functional is PBE.

abc: 5.4110 5.1142 6.1620
angles: 90.00 90.00 90.00
With the nearest neighbours (Å) after each atom.
Space group Pnma (No. 62)
Unique sites:
Zn 0.0763 0.2500 0.1312 x4  8 In 2.96-3.28, 4 Zn 3.08-3.14
In 0.1111 0.2500 0.6208 x4  8 Zn 2.96-3.28, 4 In 3.14-3.19

Raw total energy, Ha/atom: -0.06872
Calculated density, g/cm3: 7.020

***

(19)
This record from OQMD via LeMat-Bulk describes a geometry-optimized ZnIn structure. The functional is PBE.

abc: 3.2495 3.2495 4.7903
angles: 90.00 90.00 120.00
With the nearest neighbours (Å) after each atom.
Space group P-6m2 (No. 187)
Unique sites:
Zn 0.0000 0.0000 0.0000 x1  6 In 3.04, 6 Zn 3.25
In 0.3333 0.6667 0.5000 x1  6 Zn 3.04, 6 In 3.25

Raw total energy, Ha/atom: -0.06796
Calculated density, g/cm3: 6.832

***

(20)
This record from OQMD via LeMat-Bulk describes a geometry-optimized ZnIn structure. The functional is PBE.

abc: 5.0121 10.2627 4.9791
angles: 90.00 90.00 90.00
With the nearest neighbours (Å) after each atom.
Space group Pmc2_1 (No. 26)
Unique sites:
Zn 0.0000 0.0512 0.0000 x2  6 Zn 2.70-2.93, 2 In 2.95-3.01
Zn 0.0000 0.4282 0.0666 x2  2 Zn 2.89, 6 In 3.06-3.19
Zn 0.5000 0.0590 0.6964 x2  6 Zn 2.77-2.93, 3 In 2.89-3.08
In 0.0000 0.2407 0.5544 x2  6 Zn 2.95-3.20, 4 In 3.14-3.18
In 0.5000 0.2223 0.1778 x2  5 Zn 2.89-3.19, 3 In 3.04-3.14
In 0.5000 0.4147 0.7137 x2  6 In 3.04-3.32, 4 Zn 3.06-3.07

Raw total energy, Ha/atom: -0.06914
Calculated density, g/cm3: 7.011

***

(21)
This record from OQMD via LeMat-Bulk describes a geometry-optimized ZnIn structure. The functional is PBE.

abc: 6.6329 6.6329 4.5079
angles: 90.00 90.00 120.00
With the nearest neighbours (Å) after each atom.
Space group P-6m2 (No. 187)
Unique sites:
Zn 0.0000 0.0000 0.0000 x1  6 Zn 2.76
Zn 0.1393 0.2786 0.5000 x3  4 Zn 2.76-2.77, 4 In 3.04
In 0.0237 0.5119 0.0000 x3  6 Zn 3.04-3.32, 4 In 3.05-3.08
In 0.6667 0.3333 0.5000 x1  6 In 3.05, 6 Zn 3.33

Raw total energy, Ha/atom: -0.06855
Calculated density, g/cm3: 6.971

***

(22)
This record from OQMD via LeMat-Bulk describes a geometry-optimized ZnIn structure. The functional is PBE.

abc: 6.7868 14.2338 5.3306
angles: 90.00 90.00 90.00
With the nearest neighbours (Å) after each atom.
Space group Pbcm (No. 57)
Unique sites:
Zn 0.0851 0.1498 0.2500 x4  2 Zn 2.64-2.75
Zn 0.1471 0.7013 0.7500 x4  2 Zn 2.63-2.64, 1 In 2.83
Zn 0.3184 0.6331 0.2500 x4  2 Zn 2.63-2.75, 1 In 2.90
In 0.1087 0.0441 0.7500 x4  5 Zn 2.83-3.06, 1 In 3.04
In 0.3679 0.5125 0.7500 x4  5 Zn 2.97-3.19, 6 In 3.15-3.29
In 0.4026 0.2048 0.7500 x4  4 In 2.96-3.15, 3 Zn 2.98-3.06

Raw total energy, Ha/atom: -0.06924
Calculated density, g/cm3: 6.974

***

(23)
This record from OQMD via LeMat-Bulk describes a geometry-optimized ZnIn structure. The functional is PBE.

abc: 4.0403 4.0403 6.6367
angles: 90.00 90.00 120.00
With the nearest neighbours (Å) after each atom.
Space group P6_3/mmc (No. 194)
Unique sites:
Zn 0.3333 0.6667 0.2500 x2  6 In 2.86
In 0.0000 0.0000 0.0000 x2  6 Zn 2.86

Raw total energy, Ha/atom: -0.06691
Calculated density, g/cm3: 6.380

***

(24)
This record from OQMD via LeMat-Bulk describes a geometry-optimized ZnIn structure. The functional is PBE.

abc: 4.8750 6.9694 5.0850
angles: 90.00 90.00 90.00
With the nearest neighbours (Å) after each atom.
Space group Pmm2 (No. 25)
Unique sites:
Zn 0.0000 0.0000 0.0000 x1  4 Zn 2.73-2.87
Zn 0.0000 0.2031 0.5415 x2  4 Zn 2.73-2.94, 2 In 3.00
Zn 0.5000 0.0000 0.7031 x1  6 Zn 2.87-2.94, 4 In 2.96-3.00
In 0.0000 0.5000 0.0550 x1  6 In 3.12-3.19, 4 Zn 3.23-3.33
In 0.5000 0.2240 0.1988 x2  6 Zn 2.96-3.07, 5 In 3.08-3.30
In 0.5000 0.5000 0.6721 x1  6 In 3.08-3.30, 4 Zn 3.27

Raw total energy, Ha/atom: -0.06896
Calculated density, g/cm3: 6.929